DFT (PBE) results for ZrRe after structural relaxation.

Its theoretical density is 12.8 g/cm³. The value obtained for the formation energy from the elements is -0.03 eV/atom. Its total energy is -126.14 eV per cell.

The space group is P2_1/m (No. 11) and the conventional cell measures 6.581, 4.710 and 7.141 Å, with angles of 90.00, 103.42 and 90.00 degrees. The inequivalent atoms are Zr at (0.040, 0.250, 0.155), Zr at (0.129, 0.750, 0.490), Zr at (0.384, 0.250, 0.513), Re at (0.224, 0.250, 0.844), Re at (0.303, 0.750, 0.156) and Re at (0.462, 0.750, 0.852).

***

DFT (PBE) results for ZrRe after structural relaxation.

Its theoretical density is 13.1 g/cm³. The value obtained for the formation energy from the elements is -0.08 eV/atom. Its total energy is -84.52 eV per cell.

The space group is Imma (No. 74) and the conventional cell measures 4.624, 4.637 and 6.537 Å, with angles of 90.00, 90.00 and 90.00 degrees. The inequivalent atoms are Zr at (0.000, 0.250, 0.125) and Re at (0.000, 0.250, 0.626).

***

DFT (PBE) results for ZrRe2 after structural relaxation.

Its theoretical density is 3.8 g/cm³. The value obtained for the formation energy from the elements is 4.13 eV/atom. Its total energy is -168.11 eV per cell.

The space group is Fd-3m (No. 227, origin choice 2) and the conventional cell measures 11.788, 11.788 and 11.788 Å, with angles of 90.00, 90.00 and 90.00 degrees. The inequivalent atoms are Zr at (0.125, 0.125, 0.125) and Re at (0.000, 0.000, 0.000).